Run w
An optimized crystal structure of ZnH3Os, computed with PBE.

Results
- Volume: 8.3 A^3/atom
- Total moment: 0.00 μB/f.u.

Lattice parameters (Å, degrees): 3.4670 3.4670 3.4670 90.00 90.00 90.00
With the nearest neighbours (Å) after each atom.
Space group Pm-3m (No. 221)
Symmetry-distinct sites (fractional):
Zn 0.0000 0.0000 0.0000 x1  12 H 2.45
H 0.0000 0.5000 0.5000 x3  2 Os 1.73
Os 0.5000 0.5000 0.5000 x1  6 H 1.73



Run x
An optimized crystal structure of ZnH3Os, computed with PBE.

Results
- Volume: 7.8 A^3/atom
- Total moment: 0.96 μB/f.u.

Lattice parameters (Å, degrees): 3.3903 3.3903 3.3903 90.00 90.00 90.00
With the nearest neighbours (Å) after each atom.
Space group Pm-3m (No. 221)
Symmetry-distinct sites (fractional):
Zn 0.0000 0.0000 0.0000 x1  6 H 1.70
H 0.0000 0.0000 0.5000 x3  2 Zn 1.70
Os 0.5000 0.5000 0.5000 x1  12 H 2.40



Of them, run x has the lowest stability.



Run w
An optimized crystal structure of ZnHOs2, computed with PBE.

Results
- Volume: 12.1 A^3/atom
- Total moment: 0.00 μB/f.u.

Lattice parameters (Å, degrees): 5.7793 5.7793 5.7793 90.00 90.00 90.00
With the nearest neighbours (Å) after each atom.
Space group Fm-3m (No. 225)
Symmetry-distinct sites (fractional):
Zn 0.0000 0.0000 0.0000 x4  8 Os 2.50
H 0.0000 0.0000 0.5000 x4  8 Os 2.50
Os 0.2500 0.2500 0.2500 x8  4 H 2.50, 4 Zn 2.50



Run x
An optimized crystal structure of ZnHOs2, computed with PBE.

Results
- Volume: 11.6 A^3/atom
- Total moment: 0.00 μB/f.u.

Lattice parameters (Å, degrees): 6.1240 6.1240 4.9523 90.00 90.00 90.00
With the nearest neighbours (Å) after each atom.
Space group I-42d (No. 122)
Symmetry-distinct sites (fractional):
Zn 0.0000 0.0000 0.0000 x4  2 H 2.48, 8 Os 2.58-2.70
H 0.0000 0.0000 0.5000 x4  4 Os 1.89
Os 0.1518 0.2500 0.6250 x8  2 H 1.89



Of them, run w has the lowest stability.



Run w
An optimized crystal structure of Zn2HOs, computed with PBE.

Results
- Volume: 13.1 A^3/atom
- Total moment: 0.00 μB/f.u.

Lattice parameters (Å, degrees): 5.9423 5.9423 5.9423 90.00 90.00 90.00
With the nearest neighbours (Å) after each atom.
Space group Fm-3m (No. 225)
Symmetry-distinct sites (fractional):
Zn 0.2500 0.2500 0.2500 x8  4 H 2.57, 4 Os 2.57
H 0.0000 0.0000 0.0000 x4  8 Zn 2.57
Os 0.0000 0.0000 0.5000 x4  8 Zn 2.57



Run x
An optimized crystal structure of Zn2HOs, computed with PBE.

Results
- Volume: 11.6 A^3/atom
- Total moment: 0.00 μB/f.u.

Lattice parameters (Å, degrees): 6.5397 6.5397 4.3512 90.00 90.00 90.00
With the nearest neighbours (Å) after each atom.
Space group I-42d (No. 122)
Symmetry-distinct sites (fractional):
Zn 0.1684 0.2500 0.1250 x8  2 H 2.04
H 0.0000 0.0000 0.0000 x4  4 Zn 2.04, 2 Os 2.18
Os 0.0000 0.0000 0.5000 x4  2 H 2.18



Of them, run w has the lowest stability.



Run w
An optimized crystal structure of ZrHOs3, computed with PBE.

Results
- Volume: 23.4 A^3/atom
- Total moment: 4.82 μB/f.u.

Lattice parameters (Å, degrees): 4.8933 4.8933 4.8933 90.00 90.00 90.00
With the nearest neighbours (Å) after each atom.
Space group Pm-3m (No. 221)
Symmetry-distinct sites (fractional):
Zr 0.0000 0.0000 0.0000 x1  6 Os 2.45
H 0.5000 0.5000 0.5000 x1  12 Os 3.46
Os 0.0000 0.0000 0.5000 x3  2 Zr 2.45



Run x
An optimized crystal structure of ZrHOs3, computed with PBE.

Results
- Volume: 13.1 A^3/atom
- Total moment: 0.00 μB/f.u.

Lattice parameters (Å, degrees): 4.0322 4.0322 4.0322 90.00 90.00 90.00
With the nearest neighbours (Å) after each atom.
Space group Pm-3m (No. 221)
Symmetry-distinct sites (fractional):
Zr 0.0000 0.0000 0.0000 x1  12 Os 2.85
H 0.5000 0.5000 0.5000 x1  6 Os 2.02
Os 0.0000 0.5000 0.5000 x3  2 H 2.02



Of them, run w has the lowest stability.



Run w
An optimized crystal structure of Zr2HOs2, computed with PBE.

Results
- Volume: 18.4 A^3/atom
- Total moment: 0.00 μB/f.u.

Lattice parameters (Å, degrees): 3.5930 3.5930 14.2621 90.00 90.00 90.00
With the nearest neighbours (Å) after each atom.
Space group I4/mmm (No. 139)
Symmetry-distinct sites (fractional):
Zr 0.0000 0.0000 0.1009 x4  4 Os 2.78, 1 Zr 2.88, 4 H 2.92
H 0.0000 0.0000 0.5000 x2  8 Zr 2.92
Os 0.0000 0.5000 0.2500 x4  4 Os 2.54, 4 Zr 2.78



Run x
An optimized crystal structure of Zr2HOs2, computed with PBE.

Results
- Volume: 18.3 A^3/atom
- Total moment: 0.00 μB/f.u.

Lattice parameters (Å, degrees): 7.3954 7.3954 3.3544 90.00 90.00 90.00
With the nearest neighbours (Å) after each atom.
Space group P4/mbm (No. 127)
Symmetry-distinct sites (fractional):
Zr 0.1877 0.3123 0.0000 x4  6 Os 2.63-2.86, 2 H 2.69
H 0.0000 0.0000 0.0000 x2  4 Zr 2.69
Os 0.1180 0.6180 0.5000 x4  1 Os 2.47, 2 Zr 2.63



Of them, run w has the lowest stability.



Run w
An optimized crystal structure of P2H, computed with PBE.

Results
- Volume: 18.8 A^3/atom
- Total moment: 0.00 μB/f.u.

Lattice parameters (Å, degrees): 13.6976 3.3047 5.1534 90.00 104.60 90.00
With the nearest neighbours (Å) after each atom.
Space group C2/m (No. 12)
Symmetry-distinct sites (fractional):
P 0.0724 0.0000 0.4395 x4  3 P 2.22-2.23
P 0.1553 0.5000 0.6923 x4  1 H 1.44
H 0.1033 0.5000 0.9018 x4  1 P 1.44



Run x
An optimized crystal structure of P2H, computed with PBE.

Results
- Volume: 16.6 A^3/atom
- Total moment: 0.00 μB/f.u.

Lattice parameters (Å, degrees): 3.5478 5.4651 5.7651 92.75 107.55 108.78
With the nearest neighbours (Å) after each atom.
Space group P1 (No. 1)
Symmetry-distinct sites (fractional):
P 0.0000 0.0000 0.0000 x1  3 P 2.24-2.32
P 0.0523 0.5066 0.6076 x1  1 H 1.44
P 0.3526 0.7155 0.9982 x1  3 P 2.24-2.32
P 0.8684 0.0808 0.6116 x1  1 H 1.44
H 0.2553 0.0638 0.5923 x1  1 P 1.44
H 0.6375 0.5154 0.5743 x1  1 P 1.44



Run y
An optimized crystal structure of P2H, computed with PBE.

Results
- Volume: 18.2 A^3/atom
- Total moment: 0.00 μB/f.u.

Lattice parameters (Å, degrees): 12.9645 3.2782 5.1499 90.00 90.80 90.00
With the nearest neighbours (Å) after each atom.
Space group Cm (No. 8)
Symmetry-distinct sites (fractional):
P 0.0000 0.0000 0.0000 x2  3 P 2.23
P 0.0475 0.5000 0.2694 x2  1 H 1.44
P 0.2546 0.0000 0.8563 x2  2 P 2.16
P 0.3297 0.5000 0.0539 x2  1 H 1.44
H 0.3141 0.5000 0.3294 x2  1 P 1.44
H 0.4584 0.0000 0.4331 x2  1 P 1.44



Run z
An optimized crystal structure of P2H, computed with PBE.

Results
- Volume: 17.5 A^3/atom
- Total moment: 0.00 μB/f.u.

Lattice parameters (Å, degrees): 3.5871 5.5480 6.1066 116.61 92.05 102.63
With the nearest neighbours (Å) after each atom.
Space group P-1 (No. 2)
Symmetry-distinct sites (fractional):
P 0.2097 0.1586 0.1674 x2  1 H 1.43
P 0.2789 0.5489 0.1354 x2  3 P 2.22-2.35
H 0.0804 0.7877 0.6748 x2  1 P 1.43



Of them, run x has the lowest stability.



Run w
An optimized crystal structure of P2H, computed with PBE.

Results
- Volume: 19.2 A^3/atom
- Total moment: 0.00 μB/f.u.

Lattice parameters (Å, degrees): 12.4527 3.2943 5.6249 90.00 94.84 90.00
With the nearest neighbours (Å) after each atom.
Space group Cm (No. 8)
Symmetry-distinct sites (fractional):
P 0.0000 0.0000 0.0000 x2  3 P 2.25
P 0.0257 0.0000 0.4001 x2  3 P 2.23-2.25
P 0.1453 0.5000 0.4564 x2  1 H 1.44
P 0.3763 0.0000 0.9847 x2  1 H 1.44
H 0.1851 0.5000 0.2240 x2  1 P 1.44
H 0.3654 0.0000 0.7285 x2  1 P 1.44



Run x
An optimized crystal structure of P2H, computed with PBE.

Results
- Volume: 20.5 A^3/atom
- Total moment: 0.00 μB/f.u.

Lattice parameters (Å, degrees): 11.0052 3.2911 8.0754 90.00 122.73 90.00
With the nearest neighbours (Å) after each atom.
Space group C2/m (No. 12)
Symmetry-distinct sites (fractional):
P 0.1168 0.0000 0.0467 x4  3 P 2.25
P 0.1771 0.5000 0.2687 x4  1 H 1.44
H 0.1754 0.0000 0.6772 x4  1 P 1.44



Of them, run x has the lowest stability.



Run w
An optimized crystal structure of P2H, computed with PBE.

Results
- Volume: 15.6 A^3/atom
- Total moment: 0.00 μB/f.u.

Lattice parameters (Å, degrees): 3.6523 4.1266 6.4547 87.05 74.47 87.94
With the nearest neighbours (Å) after each atom.
Space group P-1 (No. 2)
Symmetry-distinct sites (fractional):
P 0.0650 0.1942 0.3666 x2  1 H 1.44
P 0.2153 0.8728 0.0831 x2  3 P 2.25-2.33
H 0.4528 0.2338 0.3726 x2  1 P 1.44



Run x
An optimized crystal structure of P2H, computed with PBE.

Results
- Volume: 17.6 A^3/atom
- Total moment: 0.00 μB/f.u.

Lattice parameters (Å, degrees): 4.6393 4.7290 5.3018 85.03 74.21 70.44
With the nearest neighbours (Å) after each atom.
Space group P1 (No. 1)
Symmetry-distinct sites (fractional):
P 0.0000 0.0000 0.0000 x1  3 P 2.18-2.29
P 0.1563 0.3240 0.1875 x1  1 H 1.43
P 0.5885 0.3450 0.8832 x1  1 H 1.46
P 0.8320 0.7523 0.3434 x1  2 P 2.15-2.18
H 0.2568 0.1372 0.3953 x1  1 P 1.43
H 0.6110 0.5859 0.0221 x1  1 P 1.46



Of them, run x has the lowest stability.



Run w
An optimized crystal structure of P2H, computed with PBE.

Results
- Volume: 18.7 A^3/atom
- Total moment: 0.00 μB/f.u.

Lattice parameters (Å, degrees): 5.2545 3.2221 7.1097 90.00 111.22 90.00
With the nearest neighbours (Å) after each atom.
Space group P2_1/m (No. 11)
Symmetry-distinct sites (fractional):
P 0.1208 0.2500 0.2730 x2  1 H 1.68
P 0.3383 0.7500 0.1918 x2  1 H 1.69
H 0.1522 0.7500 0.9426 x2  2 P 1.68-1.69



Run x
An optimized crystal structure of P2H, computed with PBE.

Results
- Volume: 19.6 A^3/atom
- Total moment: 0.00 μB/f.u.

Lattice parameters (Å, degrees): 5.3034 3.2701 7.1247 90.00 107.81 90.00
With the nearest neighbours (Å) after each atom.
Space group Pm (No. 6)
Symmetry-distinct sites (fractional):
P 0.0000 0.0000 0.0000 x1  3 P 2.21-2.31
P 0.0090 0.5000 0.4662 x1  1 H 1.44
P 0.1828 0.0000 0.3386 x1  3 P 2.21-2.31
P 0.7088 0.5000 0.9100 x1  1 H 1.44
H 0.5934 0.5000 0.0687 x1  1 P 1.44
H 0.7394 0.5000 0.3386 x1  1 P 1.44



Run y
An optimized crystal structure of P2H, computed with PBE.

Results
- Volume: 19.2 A^3/atom
- Total moment: 0.00 μB/f.u.

Lattice parameters (Å, degrees): 3.3085 5.5385 6.7670 105.57 92.51 103.84
With the nearest neighbours (Å) after each atom.
Space group P-1 (No. 2)
Symmetry-distinct sites (fractional):
P 0.0039 0.0439 0.3492 x2  3 P 2.22-2.23
P 0.3873 0.7895 0.1844 x2  1 H 1.44
H 0.3203 0.5989 0.2958 x2  1 P 1.44



Of them, run w has the lowest stability.



Run w
An optimized crystal structure of Pa2PH, computed with PBE.

Results
- Volume: 17.3 A^3/atom
- Total moment: 0.00 μB/f.u.

Lattice parameters (Å, degrees): 3.3323 12.3542 6.7278 90.00 90.00 90.00
With the nearest neighbours (Å) after each atom.
Space group Cmcm (No. 63)
Symmetry-distinct sites (fractional):
Pa 0.0000 0.1337 0.0031 x8  3 H 2.46-2.60
P 0.0000 0.4955 0.2500 x4  1 H 2.81, 8 Pa 2.87-2.91
H 0.0000 0.2770 0.7500 x4  6 Pa 2.46-2.60



Run x
An optimized crystal structure of Pa2PH, computed with PBE.

Results
- Volume: 17.1 A^3/atom
- Total moment: 0.00 μB/f.u.

Lattice parameters (Å, degrees): 3.3153 3.3153 6.2095 90.00 90.00 90.00
With the nearest neighbours (Å) after each atom.
Space group P4/mmm (No. 123)
Symmetry-distinct sites (fractional):
Pa 0.0000 0.0000 0.2327 x2  4 H 2.75, 4 P 2.87, 1 Pa 2.89
P 0.5000 0.5000 0.5000 x1  8 Pa 2.87, 2 H 3.10
H 0.5000 0.5000 0.0000 x1  8 Pa 2.75



Of them, run x has the lowest stability.



Run w
An optimized crystal structure of PH2Pb, computed with PBE.

Results
- Volume: 14.4 A^3/atom
- Total moment: 0.00 μB/f.u.

Lattice parameters (Å, degrees): 7.7218 7.7218 7.7218 90.00 90.00 90.00
With the nearest neighbours (Å) after each atom.
Space group Fd-3m (No. 227, origin choice 2)
Symmetry-distinct sites (fractional):
P 0.1250 0.1250 0.1250 x8  4 H 1.67
H 0.0000 0.0000 0.0000 x16  2 P 1.67
Pb 0.1250 0.1250 0.6250 x8  12 H 3.20, 4 P 3.34, 4 Pb 3.34



Run x
An optimized crystal structure of PH2Pb, computed with PBE.

Results
- Volume: 13.1 A^3/atom
- Total moment: 0.00 μB/f.u.

Lattice parameters (Å, degrees): 5.9428 5.9428 5.9428 90.00 90.00 90.00
With the nearest neighbours (Å) after each atom.
Space group Fm-3m (No. 225)
Symmetry-distinct sites (fractional):
P 0.0000 0.0000 0.0000 x4  8 H 2.57
H 0.2500 0.2500 0.2500 x8  4 Pb 2.57, 4 P 2.57
Pb 0.0000 0.0000 0.5000 x4  8 H 2.57



Of them, run x has the lowest stability.